The following is a PBE-GGA calculation of Mn2FeW after structural relaxation, from Alexandria via LeMat-Bulk.

magnetization = 3.8 μB/f.u.
energy of formation from the pure elements = 0.3 eV per formula unit
D(E_F) = 2.3 states/eV/cell
calculated density = 11.60 g cm⁻³
space-group type = No. 47

a = 3.0500 Å, b = 4.0774 Å, c = 4.0222 Å
α = 90.00°, β = 90.00°, γ = 90.00°
Positions (direct):
Mn1 0.0000 0.0000 0.0000
Mn2 0.5000 0.5000 0.0000
Fe1 0.0000 0.5000 0.5000
W1 0.5000 0.0000 0.5000

=====

The following is a PBE-GGA calculation of MnFeW after structural relaxation, from Alexandria via LeMat-Bulk.

magnetization = 3.2 μB/f.u.
energy of formation from the pure elements = 1.8 eV per formula unit
D(E_F) = 2.4 states/eV/cell
relative energy among the computed polymorphs = 666 meV/atom
calculated density = 10.84 g cm⁻³
space-group type = No. 216

a = 3.9962 Å, b = 3.9962 Å, c = 3.9962 Å
α = 60.00°, β = 60.00°, γ = 60.00°
Positions (direct):
W1 0.5000 0.5000 0.5000
Fe1 0.7500 0.7500 0.7500
Mn1 0.0000 0.0000 0.0000

=====

The following is a PBE-GGA calculation of MnFeW2 after structural relaxation, from Alexandria via LeMat-Bulk.

magnetization = 4.3 μB/f.u.
energy of formation from the pure elements = 1.5 eV per formula unit
D(E_F) = 3.7 states/eV/cell
relative energy among the computed polymorphs = 274 meV/atom
calculated density = 13.84 g cm⁻³
space-group type = No. 160

a = 8.8220 Å, b = 8.8220 Å, c = 8.8220 Å
α = 18.03°, β = 18.03°, γ = 18.03°
Positions (direct):
W1 0.0044 0.0044 0.0044
W2 0.2434 0.2434 0.2434
Mn1 0.7556 0.7556 0.7556
Fe1 0.4966 0.4966 0.4966